# GGA-PBE La2Tm2In, relaxed
data_La2Tm2In
_chemical_formula_sum 'La6 Tm6 In3'
_cell_length_a 5.1297
_cell_length_b 5.1297
_cell_length_c 25.2199
_cell_angle_alpha 90.00
_cell_angle_beta 90.00
_cell_angle_gamma 120.00
_space_group_name_H-M_alt 'R -3 m'
_space_group_IT_number 166
_space_group_name_Hall '-R 3 2"'
loop_
_atom_site_label
_atom_site_fract_x
_atom_site_fract_y
_atom_site_fract_z
La1 0.0000 0.0000 0.0650
Tm1 0.0000 0.0000 0.1997
In1 0.0000 0.0000 0.5000
# Formation enthalpy at 0 K ... 0.342 eV/atom
# Crystal system ... trigonal
# Fermi-level density of states ... 24.2 states/eV/cell